one:
First-principles (PBE with a Hubbard U) data for an optimized crystal structure of MnBr2F, as listed in Alexandria.

abc: 8.0556 8.0556 8.0556
angles: 28.33 28.33 28.33
Closest atoms and distances in Å follow each position.
Atoms (fractional coordinates):
Mn (0.0000, 0.0000, 0.0000)  6 Br 2.72
Br (0.3974, 0.3974, 0.3974)  1 F 2.38
Br (0.6026, 0.6026, 0.6026)  1 F 2.38
F (0.5000, 0.5000, 0.5000)  2 Br 2.38

Results
DOS(E_F) ... 0.5 states/eV per cell



two:
First-principles (PBE with a Hubbard U) data for an optimized crystal structure of MnBr2F, as listed in Alexandria.

abc: 4.7531 4.7531 4.7531
angles: 60.00 60.00 60.00
Closest atoms and distances in Å follow each position.
Atoms (fractional coordinates):
Mn (0.0000, 0.0000, 0.0000)  8 Br 2.91
Br (0.2500, 0.2500, 0.2500)  4 F 2.91, 4 Mn 2.91
Br (0.7500, 0.7500, 0.7500)  4 Mn 2.91, 4 F 2.91
F (0.5000, 0.5000, 0.5000)  8 Br 2.91

Results
DOS(E_F) ... 3.6 states/eV per cell



Which one sits at the top of the stability order? one does.



one:
First-principles (PBE with a Hubbard U) data for an optimized crystal structure of Mn2BrF, as listed in Alexandria.

abc: 7.7476 7.7476 7.7476
angles: 139.78 139.78 58.19
Closest atoms and distances in Å follow each position.
Atoms (fractional coordinates):
Mn (0.0081, 0.6250, 0.8831)  2 F 2.27
Mn (0.3750, 0.2581, 0.3831)  2 F 2.27
Mn (0.7419, 0.1250, 0.1169)  2 F 2.27
Mn (0.8750, 0.9919, 0.6169)  2 F 2.27
Br (0.2500, 0.7500, 0.5000)  4 Mn 2.91
Br (0.5000, 0.5000, 0.0000)  4 Mn 2.91
F (0.0000, 0.0000, 0.0000)  4 Mn 2.27
F (0.7500, 0.2500, 0.5000)  4 Mn 2.27

Results
DOS(E_F) ... 2.1 states/eV per cell



two:
First-principles (PBE with a Hubbard U) data for an optimized crystal structure of Mn2BrF, as listed in Alexandria.

abc: 4.8446 4.8446 4.8446
angles: 60.00 60.00 60.00
Closest atoms and distances in Å follow each position.
Atoms (fractional coordinates):
Mn (0.2500, 0.2500, 0.2500)  4 F 2.97, 4 Br 2.97
Mn (0.7500, 0.7500, 0.7500)  4 F 2.97, 4 Br 2.97
Br (0.0000, 0.0000, 0.0000)  8 Mn 2.97
F (0.5000, 0.5000, 0.5000)  8 Mn 2.97

Results
DOS(E_F) ... 2.0 states/eV per cell



Which one sits at the top of the stability order? one does.



one:
First-principles (PBE with a Hubbard U) data for an optimized crystal structure of MnBr3F, as listed in Alexandria.

abc: 5.1494 5.1494 5.1494
angles: 90.00 90.00 90.00
Closest atoms and distances in Å follow each position.
Atoms (fractional coordinates):
Mn (0.0000, 0.0000, 0.0000)  6 Br 2.57
Br (0.0000, 0.0000, 0.5000)  2 Mn 2.57
Br (0.0000, 0.5000, 0.0000)  2 Mn 2.57
Br (0.5000, 0.0000, 0.0000)  2 Mn 2.57
F (0.5000, 0.5000, 0.5000)  12 Br 3.64

Results
DOS(E_F) ... 10.6 states/eV per cell



two:
First-principles (PBE with a Hubbard U) data for an optimized crystal structure of MnBr3F, as listed in Alexandria.

abc: 4.9526 4.9526 4.9526
angles: 90.00 90.00 90.00
Closest atoms and distances in Å follow each position.
Atoms (fractional coordinates):
Mn (0.0000, 0.0000, 0.0000)  12 Br 3.50
Br (0.0000, 0.5000, 0.5000)  2 F 2.48
Br (0.5000, 0.0000, 0.5000)  2 F 2.48
Br (0.5000, 0.5000, 0.0000)  2 F 2.48
F (0.5000, 0.5000, 0.5000)  6 Br 2.48

Results
DOS(E_F) ... 3.2 states/eV per cell



Which one sits at the top of the stability order? one does.